w) Compound: DyScZnNi
Source: Alexandria
Functional: PBE
Structure: optimized geometry

Its crystal system is tetragonal.

The structure belongs to space group P4mm (No. 99); the cell edges are 3.352, 3.352 and 6.796 Å and the angles 90.00°, 90.00° and 90.00°. The inequivalent atoms are Dy at (0.000, 0.000, 0.000), Sc at (0.000, 0.000, 0.466), Zn at (0.500, 0.500, 0.706) and Ni at (0.500, 0.500, 0.261).

x) Compound: DyScZnNi
Source: Alexandria
Functional: PBE
Structure: optimized geometry

Its crystal system is cubic.

The structure belongs to space group F-43m (No. 216); the cell edges are 6.744, 6.744 and 6.744 Å and the angles 90.00°, 90.00° and 90.00°. The inequivalent atoms are Dy at (0.000, 0.000, 0.000), Sc at (0.000, 0.000, 0.500), Zn at (0.250, 0.250, 0.750) and Ni at (0.250, 0.250, 0.250).

What should be chosen as the most stable of them? Choose w).

w) Compound: Dy2NiSe
Source: Alexandria
Functional: PBE
Structure: optimized geometry

Its crystal system is orthorhombic.

The structure belongs to space group Cmcm (No. 63); the cell edges are 3.895, 22.129 and 4.136 Å and the angles 90.00°, 90.00° and 90.00°. The inequivalent atoms are Dy at (0.000, 0.062, 0.250), Dy at (0.000, 0.325, 0.250), Ni at (0.000, 0.465, 0.250) and Se at (0.000, 0.193, 0.250).

x) Compound: Dy2NiSe
Source: Alexandria
Functional: PBE
Structure: optimized geometry

Its crystal system is tetragonal.

The structure belongs to space group P4/mmm (No. 123); the cell edges are 3.490, 3.490 and 6.990 Å and the angles 90.00°, 90.00° and 90.00°. The inequivalent atoms are Dy at (0.000, 0.000, 0.233), Ni at (0.500, 0.500, 0.000) and Se at (0.500, 0.500, 0.500).

y) Compound: Dy2NiSe
Source: Alexandria
Functional: PBE
Structure: optimized geometry

Its crystal system is trigonal.

The structure belongs to space group R3m (No. 160, hexagonal axes); the cell edges are 3.9377, 3.9377 and 20.9597 Å and the angles 90.00°, 90.00° and 120.00°. The inequivalent atoms are Dy at (0.0000, 0.0000, 0.0000), Dy at (0.0000, 0.0000, 0.1881), Ni at (0.0000, 0.0000, 0.5946) and Se at (0.0000, 0.0000, 0.7611).

What should be chosen as the most stable of them? Choose w).

w) Compound: DySiNi3
Source: Alexandria
Functional: PBE
Structure: optimized geometry

Its crystal system is tetragonal.

The structure belongs to space group I-4m2 (No. 119); the cell edges are 4.812, 4.812 and 14.891 Å and the angles 90.00°, 90.00° and 90.00°. The inequivalent atoms are Dy at (0.000, 0.000, 0.136), Si at (0.000, 0.000, 0.500), Si at (0.000, 0.500, 0.750), Ni at (0.000, 0.241, 0.628) and Ni at (0.000, 0.500, 0.019).

x) Compound: DySiNi3
Source: Alexandria
Functional: PBE
Structure: optimized geometry

Its crystal system is hexagonal.

The structure belongs to space group P6_3/mmc (No. 194); the cell edges are 5.6772, 5.6772 and 10.9113 Å and the angles 90.00°, 90.00° and 120.00°. The inequivalent atoms are Dy at (0.0000, 0.0000, 0.0000), Dy at (0.3333, 0.6667, 0.2500), Si at (0.3333, 0.6667, 0.6389), Ni at (0.0000, 0.5000, 0.0000) and Ni at (0.1383, 0.2766, 0.7500).

What should be chosen as the most stable of them? Choose x).

w) Compound: Dy3Si4Ni2
Source: Alexandria
Functional: PBE
Structure: optimized geometry

Its crystal system is monoclinic.

The structure belongs to space group C2/m (No. 12); the cell edges are 10.632, 3.972 and 7.989 Å and the angles 90.00°, 100.62° and 90.00°. The inequivalent atoms are Dy at (0.000, 0.000, 0.000), Dy at (0.164, 0.500, 0.662), Si at (0.056, 0.000, 0.383), Si at (0.219, 0.500, 0.067) and Ni at (0.108, 0.500, 0.279).

x) Compound: Dy3Si4Ni2
Source: Alexandria
Functional: PBE
Structure: optimized geometry

Its crystal system is monoclinic.

The structure belongs to space group C2/m (No. 12); the cell edges are 10.309, 4.082 and 7.931 Å and the angles 90.00°, 106.09° and 90.00°. The inequivalent atoms are Dy at (0.000, 0.000, 0.000), Dy at (0.124, 0.500, 0.693), Si at (0.097, 0.000, 0.410), Si at (0.217, 0.500, 0.073) and Ni at (0.184, 0.500, 0.353).

What should be chosen as the most stable of them? Choose w).

w) Compound: Dy2Si3Ni2
Source: Alexandria
Functional: PBE
Structure: optimized geometry

Its crystal system is orthorhombic.

The structure belongs to space group Cmcm (No. 63); the cell edges are 4.078, 17.274 and 6.590 Å and the angles 90.00°, 90.00° and 90.00°. The inequivalent atoms are Dy at (0.000, 0.053, 0.250), Dy at (0.000, 0.158, 0.750), Si at (0.000, 0.223, 0.250), Si at (0.000, 0.436, 0.067) and Ni at (0.000, 0.305, 0.554).

x) Compound: Dy2Si3Ni2
Source: Alexandria
Functional: PBE
Structure: optimized geometry

Its crystal system is monoclinic.

The structure belongs to space group C2/m (No. 12); the cell edges are 10.009, 3.992 and 6.350 Å and the angles 90.00°, 116.21° and 90.00°. The inequivalent atoms are Dy at (0.149, 0.000, 0.280), Si at (0.000, 0.500, 0.500), Si at (0.113, 0.500, 0.938) and Ni at (0.138, 0.000, 0.747).

What should be chosen as the most stable of them? Choose w).

w) Compound: DySi3Ni5
Source: Alexandria
Functional: PBE
Structure: optimized geometry

Its crystal system is orthorhombic.

The structure belongs to space group Cmcm (No. 63); the cell edges are 3.658, 11.681 and 11.550 Å and the angles 90.00°, 90.00° and 90.00°. The inequivalent atoms are Dy at (0.000, 0.159, 0.250), Si at (0.000, 0.114, 0.750), Si at (0.000, 0.383, 0.541), Ni at (0.000, 0.000, 0.000), Ni at (0.000, 0.197, 0.568) and Ni at (0.000, 0.449, 0.146).

x) Compound: DySi3Ni5
Source: Alexandria
Functional: PBE
Structure: optimized geometry

Its crystal system is orthorhombic.

The structure belongs to space group Pnma (No. 62); the cell edges are 18.719, 3.786 and 6.649 Å and the angles 90.00°, 90.00° and 90.00°. The inequivalent atoms are Dy at (0.143, 0.250, 0.123), Si at (0.074, 0.750, 0.844), Si at (0.086, 0.750, 0.421), Si at (0.238, 0.250, 0.620), Ni at (0.006, 0.750, 0.135), Ni at (0.016, 0.250, 0.386), Ni at (0.115, 0.250, 0.646), Ni at (0.199, 0.750, 0.813) and Ni at (0.207, 0.750, 0.429).

What should be chosen as the most stable of them? Choose x).

w) Compound: DyNi4Sn
Source: Alexandria
Functional: PBE
Structure: optimized geometry

Its crystal system is cubic.

The structure belongs to space group F-43m (No. 216); the cell edges are 7.060, 7.060 and 7.060 Å and the angles 90.00°, 90.00° and 90.00°. The inequivalent atoms are Dy at (0.000, 0.000, 0.000), Ni at (0.125, 0.125, 0.625) and Sn at (0.250, 0.250, 0.250).

x) Compound: DyNi4Sn
Source: Alexandria
Functional: PBE
Structure: optimized geometry

Its crystal system is hexagonal.

The structure belongs to space group P6/mmm (No. 191); the cell edges are 8.9032, 8.9032 and 4.0750 Å and the angles 90.00°, 90.00° and 120.00°. The inequivalent atoms are Dy at (0.0000, 0.0000, 0.0000), Dy at (0.3333, 0.6667, 0.5000), Ni at (0.0000, 0.2928, 0.5000), Ni at (0.1758, 0.3517, 0.0000) and Sn at (0.0000, 0.5000, 0.0000).

What should be chosen as the most stable of them? Choose w).

w) Compound: Tb2DyNi
Source: Alexandria
Functional: PBE
Structure: optimized geometry

Its crystal system is orthorhombic.

The structure belongs to space group Cmcm (No. 63); the cell edges are 3.659, 11.914 and 9.562 Å and the angles 90.00°, 90.00° and 90.00°. The inequivalent atoms are Tb at (0.000, 0.137, 0.069), Dy at (0.000, 0.418, 0.250) and Ni at (0.000, 0.264, 0.750).

x) Compound: Tb2DyNi
Source: Alexandria
Functional: PBE
Structure: optimized geometry

Its crystal system is orthorhombic.

The structure belongs to space group Pnma (No. 62); the cell edges are 6.860, 9.629 and 6.320 Å and the angles 90.00°, 90.00° and 90.00°. The inequivalent atoms are Tb at (0.179, 0.066, 0.177), Dy at (0.034, 0.250, 0.641) and Ni at (0.110, 0.750, 0.944).

y) Compound: Tb2DyNi
Source: Alexandria
Functional: PBE
Structure: optimized geometry

Its crystal system is trigonal.

The structure belongs to space group R-3m (No. 166, hexagonal axes); the cell edges are 3.6549, 3.6549 and 28.3526 Å and the angles 90.00°, 90.00° and 120.00°. The inequivalent atoms are Tb at (0.0000, 0.0000, 0.2280), Dy at (0.0000, 0.0000, 0.0000) and Ni at (0.0000, 0.0000, 0.5000).

What should be chosen as the most stable of them? Choose x).

w) Compound: TbDy3Ni
Source: Alexandria
Functional: PBE
Structure: optimized geometry

Its crystal system is cubic.

The structure belongs to space group Pm-3m (No. 221); the cell edges are 5.306, 5.306 and 5.306 Å and the angles 90.00°, 90.00° and 90.00°. The inequivalent atoms are Tb at (0.000, 0.000, 0.000), Dy at (0.000, 0.500, 0.500) and Ni at (0.500, 0.500, 0.500).

x) Compound: TbDy3Ni
Source: Alexandria
Functional: PBE
Structure: optimized geometry

Its crystal system is monoclinic.

The structure belongs to space group Cm (No. 8); the cell edges are 12.334, 3.647 and 12.829 Å and the angles 90.00°, 109.22° and 90.00°. The inequivalent atoms are Tb at (0.000, 0.000, 0.000), Tb at (0.130, 0.000, 0.283), Dy at (0.116, 0.000, 0.580), Dy at (0.245, 0.000, 0.861), Dy at (0.268, 0.500, 0.110), Dy at (0.320, 0.500, 0.517), Dy at (0.426, 0.000, 0.346), Dy at (0.478, 0.000, 0.752), Ni at (0.284, 0.500, 0.719) and Ni at (0.461, 0.000, 0.143).

What should be chosen as the most stable of them? Choose x).

w) Compound: Dy8TcNi2
Source: Alexandria
Functional: PBE
Structure: optimized geometry

Its crystal system is monoclinic.

The structure belongs to space group Cm (No. 8); the cell edges are 8.144, 12.649 and 5.777 Å and the angles 90.00°, 108.40° and 90.00°. The inequivalent atoms are Dy at (0.000, 0.000, 0.000), Dy at (0.064, 0.374, 0.762), Dy at (0.153, 0.126, 0.573), Dy at (0.222, 0.500, 0.355), Dy at (0.356, 0.216, 0.173), Tc at (0.363, 0.000, 0.279) and Ni at (0.362, 0.305, 0.678).

x) Compound: Dy8TcNi2
Source: Alexandria
Functional: PBE
Structure: optimized geometry

Its crystal system is monoclinic.

The structure belongs to space group C2/m (No. 12); the cell edges are 17.037, 5.006 and 6.694 Å and the angles 90.00°, 107.18° and 90.00°. The inequivalent atoms are Dy at (0.034, 0.000, 0.295), Dy at (0.093, 0.500, 0.949), Dy at (0.171, 0.500, 0.475), Dy at (0.198, 0.000, 0.820), Tc at (0.000, 0.500, 0.500) and Ni at (0.187, 0.000, 0.207).

What should be chosen as the most stable of them? Choose x).